[1]
The following is a PBE calculation of a relaxed structure of Li2In2Hg4Pb3, from Alexandria.

Cell and atoms, written as POSCAR:
```
Li2In2Hg4Pb3
1.0
-1.755 -3.496 -2.992
4.853 0.404 0.736
-0.892 -8.648 10.627
Pb Hg Li In
3 4 2 2
direct
0.000 0.000 0.752
0.000 0.000 0.000
0.000 0.000 0.248
0.667 0.333 0.649
0.667 0.333 0.122
0.333 0.667 0.351
0.333 0.667 0.878
0.333 0.667 0.117
0.667 0.333 0.883
0.667 0.333 0.426
0.333 0.667 0.574
```

Output
energy relative to the elements	-0.095	eV/atom
symmetry	P-3m1

=====

[2]
The following is a PBE calculation of a relaxed structure of LiInHgPb, from Alexandria.

Cell and atoms, written as POSCAR:
```
LiInHgPb
1.0
-2.868 -1.649 0.440
1.618 -2.213 2.256
-0.482 5.831 6.060
Li Pb Hg In
1 1 1 1
direct
0.061 0.430 0.121
0.443 0.930 0.885
0.650 0.930 0.300
0.277 0.429 0.555
```

Output
energy relative to the elements	-0.123	eV/atom
symmetry	Amm2
offset from the most stable computed form	0	meV/atom

=====

[3]
The following is a PBE calculation of a relaxed structure of Li5In2Hg2Pd, from Alexandria.

Cell and atoms, written as POSCAR:
```
Li5In2Hg2Pd
1.0
3.284 0.000 0.000
0.000 10.783 0.000
0.000 0.000 10.783
In Li Hg Pd
4 10 4 2
direct
0.000 0.333 0.833
0.000 0.167 0.333
0.000 0.833 0.667
0.000 0.667 0.167
0.500 0.530 0.686
0.500 0.500 0.000
0.500 0.314 0.530
0.500 0.970 0.186
0.500 0.000 0.500
0.500 0.814 0.970
0.500 0.030 0.814
0.500 0.470 0.314
0.500 0.186 0.030
0.500 0.686 0.470
0.000 0.359 0.141
0.000 0.141 0.641
0.000 0.859 0.359
0.000 0.641 0.859
0.000 0.500 0.500
0.000 0.000 0.000
```

Output
energy relative to the elements	-0.258	eV/atom
symmetry	P4/mbm

=====

[4]
The following is a PBE calculation of a relaxed structure of Li3In3HgPd2, from Alexandria.

Cell and atoms, written as POSCAR:
```
Li3In3HgPd2
1.0
3.137 0.000 0.000
0.000 7.714 0.000
0.000 -3.857 6.680
Li In Pd Hg
3 3 2 1
direct
0.500 0.000 0.705
0.500 0.705 0.000
0.500 0.295 0.295
0.000 0.383 0.000
0.000 0.000 0.383
0.000 0.617 0.617
0.500 0.667 0.333
0.500 0.333 0.667
0.000 0.000 0.000
```

Output
energy relative to the elements	-0.418	eV/atom
symmetry	P-62m

=====

[5]
The following is a PBE calculation of a relaxed structure of LiPmInHg, from Alexandria.

Cell and atoms, written as POSCAR:
```
LiPmInHg
1.0
5.154 0.000 0.000
2.577 4.463 0.000
2.577 1.488 4.208
Pm Hg Li In
1 1 1 1
direct
0.500 0.500 0.500
0.250 0.250 0.250
0.000 0.000 0.000
0.750 0.750 0.750
```

Output
energy relative to the elements	-0.432	eV/atom
symmetry	F-43m

=====

[6]
The following is a PBE calculation of a relaxed structure of LiPm2InHg4, from Alexandria.

Cell and atoms, written as POSCAR:
```
LiPm2InHg4
1.0
5.164 0.000 0.000
2.582 4.472 0.000
2.582 1.491 8.393
Pm Hg In Li
2 4 1 1
direct
0.255 0.255 0.236
0.745 0.745 0.764
0.868 0.868 0.395
0.383 0.383 0.850
0.617 0.617 0.150
0.132 0.132 0.605
0.000 0.000 0.000
0.500 0.500 0.500
```

Output
energy relative to the elements	-0.460	eV/atom
symmetry	R-3m

=====

[7]
The following is a PBE calculation of a relaxed structure of Li2PmInHg2, from Alexandria.

Cell and atoms, written as POSCAR:
```
Li2PmInHg2
1.0
4.843 0.000 0.000
-2.422 4.195 0.000
0.000 0.000 6.566
Pm In Li Hg
1 1 2 2
direct
0.000 0.000 0.000
0.000 0.000 0.500
0.667 0.333 0.333
0.333 0.667 0.667
0.667 0.333 0.769
0.333 0.667 0.231
```

Output
energy relative to the elements	-0.424	eV/atom
symmetry	P-3m1

=====

[8]
The following is a PBE calculation of a relaxed structure of LiPrInHg, from Alexandria.

Cell and atoms, written as POSCAR:
```
LiPrInHg
1.0
-3.397 2.457 -3.092
-5.109 -0.328 0.964
-2.590 4.161 1.764
In Pr Li Hg
1 1 1 1
direct
0.250 0.250 0.250
0.500 0.500 0.500
0.000 0.000 0.000
0.750 0.750 0.750
```

Output
energy relative to the elements	-0.429	eV/atom
symmetry	F-43m

=====

[9]
The following is a PBE calculation of a relaxed structure of LiIn2HgPt, from Alexandria.

Cell and atoms, written as POSCAR:
```
LiIn2HgPt
1.0
-3.162 3.865 1.537
-2.925 -0.694 -4.273
-2.811 -3.276 2.457
Li In Hg Pt
1 2 1 1
direct
0.000 0.000 0.500
0.500 0.000 0.000
0.000 0.500 0.000
0.500 0.500 0.500
0.000 0.000 0.000
```

Output
energy relative to the elements	-0.248	eV/atom
symmetry	P4/mmm

=====

[10]
The following is a PBE calculation of a relaxed structure of RbLiInHg3, from Alexandria.

Cell and atoms, written as POSCAR:
```
RbLiInHg3
1.0
7.550 0.000 0.000
0.000 6.908 0.000
0.000 -3.454 6.945
Rb Hg Li In
2 6 2 2
direct
0.750 0.285 0.571
0.250 0.715 0.429
0.500 0.735 0.000
0.750 0.844 0.688
0.000 0.735 0.000
0.000 0.265 0.000
0.250 0.156 0.312
0.500 0.265 0.000
0.250 0.955 0.909
0.750 0.045 0.091
0.750 0.625 0.250
0.250 0.375 0.750
```

Output
energy relative to the elements	-0.164	eV/atom
symmetry	Cmcm

=====

[11]
The following is a PBE calculation of a relaxed structure of Rb2LiInHg6, from Alexandria.

Cell and atoms, written as POSCAR:
```
Rb2LiInHg6
1.0
-6.159 -4.695 -1.455
1.670 0.257 -7.696
0.943 -6.701 -4.135
Hg Rb Li In
6 2 1 1
direct
0.766 0.766 0.940
0.234 0.234 0.060
0.786 0.786 0.526
0.265 0.735 0.000
0.214 0.214 0.474
0.735 0.265 0.000
0.711 0.288 0.500
0.289 0.712 0.500
0.500 0.500 0.000
0.000 0.000 0.000
```

Output
energy relative to the elements	-0.172	eV/atom
symmetry	C2/m

=====

[12]
The following is a PBE calculation of a relaxed structure of RbLiIn2Hg4, from Alexandria.

Cell and atoms, written as POSCAR:
```
RbLiIn2Hg4
1.0
-1.546 -2.208 4.129
0.524 -4.874 0.534
9.618 -0.788 6.125
Hg Li In Rb
4 1 2 1
direct
0.598 0.598 0.206
0.860 0.860 0.420
0.402 0.402 0.794
0.140 0.140 0.580
0.500 0.500 0.500
0.767 0.767 0.699
0.233 0.233 0.301
0.000 0.000 0.000
```

Output
energy relative to the elements	-0.187	eV/atom
symmetry	R-3m

=====

[13]
The following is a PBE calculation of a relaxed structure of LiIn2HgS4, from Alexandria.

Cell and atoms, written as POSCAR:
```
LiIn2HgS4
1.0
-2.694 -5.256 0.070
5.105 -2.626 -1.391
0.077 3.359 6.462
S Li Hg In
4 1 1 2
direct
0.613 0.613 0.749
0.136 0.136 0.749
0.387 0.864 0.251
0.864 0.387 0.251
0.500 0.500 0.000
0.000 0.000 0.000
0.250 0.750 0.500
0.750 0.250 0.500
```

Output
E_form (uncorrected)	-0.56	eV/atom
symmetry	Fmm2

=====

[14]
The following is a PBE calculation of a relaxed structure of LiInHgSb, from Alexandria.

Cell and atoms, written as POSCAR:
```
LiInHgSb
1.0
-0.943 4.439 -2.572
-0.672 -0.075 -5.172
-4.723 0.885 -2.030
Li Hg Sb In
1 1 1 1
direct
0.000 0.000 0.000
0.750 0.750 0.750
0.250 0.250 0.250
0.500 0.500 0.500
```

Output
E_form (uncorrected)	-0.13	eV/atom
symmetry	F-43m

=====

[15]
The following is a PBE calculation of a relaxed structure of LiSc2InHg4, from Alexandria.

Cell and atoms, written as POSCAR:
```
LiSc2InHg4
1.0
4.924 0.000 0.000
2.462 4.264 0.000
2.462 1.421 8.036
Hg Li Sc In
4 1 2 1
direct
0.867 0.867 0.400
0.384 0.384 0.847
0.616 0.616 0.153
0.133 0.133 0.600
0.500 0.500 0.500
0.254 0.254 0.237
0.746 0.746 0.763
0.000 0.000 0.000
```

Output
energy relative to the elements	-0.342	eV/atom
symmetry	R-3m

=====

[16]
The following is a PBE calculation of a relaxed structure of Li2InHgSe, from Alexandria.

Cell and atoms, written as POSCAR:
```
Li2InHgSe
1.0
5.061 0.000 0.000
0.000 5.410 0.000
0.000 0.000 5.061
Li Hg In Se
2 1 1 1
direct
0.000 0.000 0.500
0.500 0.000 0.000
0.000 0.000 0.000
0.500 0.500 0.500
0.000 0.500 0.000
```

Output
E_form (uncorrected)	-0.02	eV/atom
symmetry	P4/mmm

=====

[17]
The following is a PBE calculation of a relaxed structure of LiIn2HgSe4, from Alexandria.

Cell and atoms, written as POSCAR:
```
LiIn2HgSe4
1.0
-1.503 1.548 5.865
3.556 -4.782 1.883
3.823 5.326 -3.611
Hg Se Li In
1 4 1 2
direct
0.002 0.002 0.005
0.862 0.379 0.240
0.379 0.862 0.240
0.134 0.134 0.749
0.615 0.615 0.749
0.501 0.501 0.003
0.254 0.754 0.507
0.754 0.254 0.507
```

Output
E_form (uncorrected)	-0.56	eV/atom
symmetry	Fmm2

=====

[18]
The following is a PBE calculation of a relaxed structure of LiSmInHg, from Alexandria.

Cell and atoms, written as POSCAR:
```
LiSmInHg
1.0
-4.612 1.633 1.563
-1.381 -0.530 4.919
-0.372 4.136 3.023
Sm Hg In Li
1 1 1 1
direct
0.500 0.500 0.500
0.250 0.250 0.250
0.750 0.750 0.750
0.000 0.000 0.000
```

Output
energy relative to the elements	-0.428	eV/atom
symmetry	F-43m

=====

[19]
The following is a PBE calculation of a relaxed structure of Li2SmIn2Hg2, from Alexandria.

Cell and atoms, written as POSCAR:
```
Li2SmIn2Hg2
1.0
-2.574 -4.020 -0.505
1.855 -4.221 1.334
-3.232 -1.750 7.593
In Li Sm Hg
2 2 1 2
direct
0.734 0.734 0.797
0.266 0.266 0.203
0.141 0.141 0.577
0.859 0.859 0.423
0.000 0.000 0.000
0.435 0.435 0.694
0.565 0.565 0.306
```

Output
energy relative to the elements	-0.309	eV/atom
symmetry	R-3m

=====

[20]
The following is a PBE calculation of a relaxed structure of Li2InSnHg, from Alexandria.

Cell and atoms, written as POSCAR:
```
Li2InSnHg
1.0
4.633 0.000 0.000
0.000 5.723 1.025
0.000 -1.463 7.985
Sn Hg In Li
2 2 2 4
direct
0.750 0.619 0.914
0.250 0.381 0.086
0.750 0.938 0.261
0.250 0.062 0.739
0.250 0.628 0.419
0.750 0.372 0.581
0.750 0.866 0.601
0.250 0.134 0.399
0.750 0.127 0.933
0.250 0.873 0.067
```

Output
energy relative to the elements	-0.250	eV/atom
symmetry	P2_1/m

=====

[21]
The following is a PBE calculation of a relaxed structure of LiIn2SnHg2, from Alexandria.

Cell and atoms, written as POSCAR:
```
LiIn2SnHg2
1.0
-2.276 -3.851 1.873
0.442 -4.343 -2.113
5.496 -4.226 4.270
In Hg Li Sn
2 2 1 1
direct
0.228 0.228 0.316
0.772 0.772 0.684
0.365 0.365 0.904
0.635 0.635 0.096
0.000 0.000 0.000
0.500 0.500 0.500
```

Output
energy relative to the elements	-0.069	eV/atom
symmetry	R-3m

=====

[22]
The following is a PBE calculation of a relaxed structure of Li3In3Sn2Hg, from Alexandria.

Cell and atoms, written as POSCAR:
```
Li3In3Sn2Hg
1.0
-0.966 -0.392 -3.456
-0.625 -8.105 1.093
-6.511 4.824 1.273
In Sn Li Hg
3 2 3 1
direct
0.500 0.287 0.287
0.500 0.713 0.000
0.500 0.000 0.713
0.500 0.333 0.667
0.500 0.667 0.333
0.000 0.000 0.366
0.000 0.366 0.000
0.000 0.634 0.634
0.000 0.000 0.000
```

Output
energy relative to the elements	-0.181	eV/atom
symmetry	P-62m

=====

[23]
The following is a PBE calculation of a relaxed structure of Li2InSnHg2, from Alexandria.

Cell and atoms, written as POSCAR:
```
Li2InSnHg2
1.0
-0.344 -3.508 3.390
1.813 -1.042 -4.421
5.775 1.404 2.038
Sn Hg Li In
1 2 2 1
direct
0.000 0.000 0.500
0.333 0.667 0.232
0.667 0.333 0.768
0.333 0.667 0.720
0.667 0.333 0.280
0.000 0.000 0.000
```

Output
energy relative to the elements	-0.240	eV/atom
symmetry	P-3m1

=====

[24]
The following is a PBE calculation of a relaxed structure of Li3In3SnHg2, from Alexandria.

Cell and atoms, written as POSCAR:
```
Li3In3SnHg2
1.0
3.413 0.000 0.000
0.000 8.320 0.000
0.000 -4.160 7.205
Sn Hg Li In
1 2 3 3
direct
0.000 0.000 0.000
0.500 0.667 0.333
0.500 0.333 0.667
0.000 0.628 0.628
0.000 0.000 0.372
0.000 0.372 0.000
0.500 0.692 0.000
0.500 0.000 0.692
0.500 0.308 0.308
```

Output
energy relative to the elements	-0.206	eV/atom
symmetry	P-62m

=====

no.,DFT total energy (eV per atom)
1,-2.062
2,-2.289
3,-2.343
4,-3.156
5,-2.858
6,-2.380
7,-2.410
8,-2.862
9,-2.995
10,-1.252
11,-1.012
12,-1.383
13,-3.582
14,-2.395
15,-2.657
16,-2.086
17,-3.262
18,-2.847
19,-2.399
20,-2.424
21,-2.069
22,-2.655
23,-2.102
24,-2.268